Entry from the Alexandria database: ZrAg after structural relaxation (PBE-GGA).

a b c (Å): 7.5951 7.5951 7.5951
angles (deg): 109.47 109.47 109.47
With the nearest neighbours (Å) after each atom.
Sites, in units of the cell vectors:
Zr (0.0000, 0.0000, 0.7592)  4 Ag 2.85-2.88, 3 Zr 2.99
Zr (0.0000, 0.7592, 0.0000)  4 Ag 2.85-2.88, 3 Zr 2.99
Zr (0.2408, 0.2408, 0.2408)  4 Ag 2.85-2.88, 3 Zr 2.99
Zr (0.7592, 0.0000, 0.0000)  4 Ag 2.85-2.88, 3 Zr 2.99
Ag (0.0000, 0.0000, 0.3846)  4 Zr 2.85-2.88
Ag (0.0000, 0.3846, 0.0000)  4 Zr 2.85-2.88
Ag (0.3846, 0.0000, 0.0000)  4 Zr 2.85-2.88
Ag (0.6154, 0.6154, 0.6154)  4 Zr 2.85-2.88

- Formation enthalpy at 0 K: 1.120 eV per atom
- Crystal system: cubic
- E: -4.58 eV per atom
- Space group: I-43m (217)

---

Entry from the Alexandria database: Fe2Pd3Rh3 after structural relaxation (PBE-GGA).

a b c (Å): 3.8420 3.8813 7.6441
angles (deg): 90.00 90.00 90.00
With the nearest neighbours (Å) after each atom.
Sites, in units of the cell vectors:
Fe (0.0000, 0.0000, 0.2466)  6 Rh 2.69-2.73, 6 Pd 2.73-2.74
Fe (0.0000, 0.0000, 0.7534)  6 Rh 2.69-2.73, 6 Pd 2.73-2.74
Pd (0.0000, 0.5000, 0.5000)  4 Pd 2.72, 4 Rh 2.73, 4 Fe 2.74
Pd (0.5000, 0.5000, 0.2486)  6 Rh 2.70-2.73, 2 Pd 2.72, 4 Fe 2.73
Pd (0.5000, 0.5000, 0.7514)  6 Rh 2.70-2.73, 2 Pd 2.72, 4 Fe 2.73
Rh (0.0000, 0.5000, 0.0000)  4 Pd 2.70, 4 Fe 2.71, 4 Rh 2.73
Rh (0.5000, 0.0000, 0.0000)  4 Fe 2.69, 4 Pd 2.72, 4 Rh 2.73
Rh (0.5000, 0.0000, 0.5000)  4 Fe 2.73, 8 Pd 2.73

- Formation enthalpy at 0 K: -0.031 eV per atom
- Crystal system: orthorhombic
- E: -6.85 eV per atom
- Space group: Pmmm (47)

---

Entry from the Alexandria database: Pr3Nd4Ru4 after structural relaxation (PBE-GGA).

a b c (Å): 9.6310 9.6310 9.6310
angles (deg): 157.38 123.11 62.00
With the nearest neighbours (Å) after each atom.
Sites, in units of the cell vectors:
Pr (0.0000, 0.0000, 0.0000)  4 Ru 3.11
Pr (0.4009, 0.9009, 0.5000)  6 Ru 3.08-3.27, 1 Pr 3.27
Pr (0.5991, 0.0991, 0.5000)  6 Ru 3.08-3.27, 1 Pr 3.27
Nd (0.0242, 0.3345, 0.6897)  4 Ru 2.83-3.14
Nd (0.3552, 0.6655, 0.6897)  4 Ru 2.83-3.14
Nd (0.6448, 0.3345, 0.3103)  4 Ru 2.83-3.14
Nd (0.9758, 0.6655, 0.3103)  4 Ru 2.83-3.14
Ru (0.2536, 0.2536, 0.0000)  6 Nd 2.95-3.14, 2 Pr 3.08
Ru (0.2699, 0.5000, 0.7699)  2 Nd 2.83, 2 Pr 3.11
Ru (0.7301, 0.5000, 0.2301)  2 Nd 2.83, 2 Pr 3.11
Ru (0.7464, 0.7464, 0.0000)  6 Nd 2.95-3.14, 2 Pr 3.08

- Formation enthalpy at 0 K: -0.091 eV per atom
- Crystal system: orthorhombic
- E: -6.50 eV per atom
- Space group: Immm (71)

---

Entry from the Alexandria database: BTeC3 after structural relaxation (PBE-GGA).

a b c (Å): 4.1993 4.1993 4.1993
angles (deg): 90.00 90.00 90.00
With the nearest neighbours (Å) after each atom.
Sites, in units of the cell vectors:
B (0.0000, 0.0000, 0.0000)  12 C 2.97
Te (0.5000, 0.5000, 0.5000)  6 C 2.10
C (0.0000, 0.5000, 0.5000)  2 Te 2.10
C (0.5000, 0.0000, 0.5000)  2 Te 2.10
C (0.5000, 0.5000, 0.0000)  2 Te 2.10

- Energy relative to the lowest polymorph listed for this composition: 6.47 eV per formula unit
- Formation energy (no corrections): 3.802 eV per atom
- Crystal system: cubic
- E: -3.70 eV per atom
- Space group: Pm-3m (221)

---

Entry from the Alexandria database: Nd2HoPaN4 after structural relaxation (PBE-GGA).

a b c (Å): 6.0967 3.5640 6.2027
angles (deg): 90.00 109.04 90.00
With the nearest neighbours (Å) after each atom.
Sites, in units of the cell vectors:
Nd (0.0000, 0.0000, 0.0000)  6 N 2.65-2.67
Nd (0.5000, 0.5000, 0.0000)  6 N 2.58-2.59
Ho (0.0000, 0.5000, 0.5000)  6 N 2.44-2.47
Pa (0.5000, 0.0000, 0.5000)  6 N 2.34-2.40
N (0.2544, 0.0000, 0.7223)  1 Pa 2.34, 2 Ho 2.47, 2 Nd 2.59
N (0.2678, 0.5000, 0.2811)  2 Pa 2.40, 1 Ho 2.44, 3 Nd 2.58-2.65
N (0.7322, 0.5000, 0.7189)  2 Pa 2.40, 1 Ho 2.44, 3 Nd 2.58-2.65
N (0.7456, 0.0000, 0.2777)  1 Pa 2.34, 2 Ho 2.47, 2 Nd 2.59

- Formation energy (no corrections): -1.587 eV per atom
- Crystal system: monoclinic
- E: -8.70 eV per atom
- Space group: P2/m (10)

---

Entry from the Alexandria database: Pr2HgAu4 after structural relaxation (PBE-GGA).

a b c (Å): 7.8910 7.8910 7.8910
angles (deg): 38.05 38.05 38.05
With the nearest neighbours (Å) after each atom.
Sites, in units of the cell vectors:
Pr (0.2314, 0.2314, 0.2314)  7 Au 3.00-3.32, 3 Hg 3.29
Pr (0.7686, 0.7686, 0.7686)  7 Au 3.00-3.32, 3 Hg 3.29
Hg (0.5000, 0.5000, 0.5000)  2 Au 2.89
Au (0.0738, 0.0738, 0.0738)  3 Pr 3.03, 4 Au 3.09-3.24
Au (0.3680, 0.3680, 0.3680)  1 Hg 2.89, 1 Pr 3.00, 3 Au 3.09
Au (0.6320, 0.6320, 0.6320)  1 Hg 2.89, 1 Pr 3.00, 3 Au 3.09
Au (0.9262, 0.9262, 0.9262)  3 Pr 3.03, 4 Au 3.09-3.24

- Formation enthalpy at 0 K: -0.537 eV per atom
- Energy relative to the lowest polymorph listed for this composition: 0.00 eV per formula unit
- Crystal system: trigonal
- E: -3.82 eV per atom
- Space group: R-3m (166)

---

Entry from the Alexandria database: LiNi4Sn after structural relaxation (PBE-GGA).

a b c (Å): 4.8066 4.8066 4.8066
angles (deg): 60.00 60.00 60.00
With the nearest neighbours (Å) after each atom.
Sites, in units of the cell vectors:
Li (0.0000, 0.0000, 0.0000)  12 Ni 2.82, 4 Sn 2.94
Ni (0.1245, 0.6252, 0.6252)  6 Ni 2.40-2.41
Ni (0.6252, 0.1245, 0.6252)  6 Ni 2.40-2.41
Ni (0.6252, 0.6252, 0.1245)  6 Ni 2.40-2.41
Ni (0.6252, 0.6252, 0.6252)  6 Ni 2.40-2.41
Sn (0.2500, 0.2500, 0.2500)  12 Ni 2.82, 4 Li 2.94

- Formation enthalpy at 0 K: -0.142 eV per atom
- Energy relative to the lowest polymorph listed for this composition: 0.00 eV per formula unit
- Crystal system: cubic
- E: -4.98 eV per atom
- Space group: F-43m (216)